1.
Here is crystalline Ti2IrRuF at its relaxed geometry from Alexandria. Energies are from PBE.

a b c (Å): 4.7863 4.5946 4.7863
angles (deg): 90.00 90.00 90.00
With the nearest neighbours (Å) after each atom.
Sites, in units of the cell vectors:
F: 0.5000 0.5000 0.5000  8 Ti 3.32, 4 Ir 3.38
Ir: 0.0000 0.5000 0.0000  2 Ru 2.30
Ti: 0.5000 0.0000 0.0000  2 Ru 2.39
Ti: 0.0000 0.0000 0.5000  2 Ru 2.39
Ru: 0.0000 0.0000 0.0000  2 Ir 2.30, 4 Ti 2.39

Calculated values
* ΔE_f (raw): 523 meV/atom

2.
Here is crystalline Ir2SF at its relaxed geometry from Alexandria. Energies are from PBE.

a b c (Å): 6.2544 6.2544 5.2958
angles (deg): 53.81 53.81 90.00
With the nearest neighbours (Å) after each atom.
Sites, in units of the cell vectors:
Ir: 0.0982 0.6250 0.2500  2 S 2.22, 2 F 2.44
Ir: 0.6518 0.1250 0.2500  2 S 2.22, 2 F 2.44
Ir: 0.3750 0.3482 0.7500  2 S 2.22, 2 F 2.44
Ir: 0.8750 0.9018 0.7500  2 S 2.22, 2 F 2.44
F: 0.5000 0.5000 0.0000  4 Ir 2.44
F: 0.2500 0.7500 0.5000  4 Ir 2.44
S: 0.7500 0.2500 0.5000  4 Ir 2.22
S: 0.0000 0.0000 0.0000  4 Ir 2.22

Calculated values
* ΔE_f (raw): 151 meV/atom

3.
Here is crystalline IrSF3 at its relaxed geometry from Alexandria. Energies are from PBE.

a b c (Å): 4.1934 4.1934 4.1934
angles (deg): 90.00 90.00 90.00
With the nearest neighbours (Å) after each atom.
Sites, in units of the cell vectors:
F: 0.0000 0.5000 0.0000  2 Ir 2.10
F: 0.5000 0.0000 0.0000  2 Ir 2.10
F: 0.0000 0.0000 0.5000  2 Ir 2.10
Ir: 0.0000 0.0000 0.0000  6 F 2.10
S: 0.5000 0.5000 0.5000  12 F 2.97

Calculated values
* ΔE_f (raw): -173 meV/atom

4.
Here is crystalline IrS2F at its relaxed geometry from Alexandria. Energies are from PBE.

a b c (Å): 6.6673 6.6673 6.6673
angles (deg): 31.48 31.48 31.48
With the nearest neighbours (Å) after each atom.
Sites, in units of the cell vectors:
S: 0.8916 0.8916 0.8916  1 F 2.06
S: 0.1084 0.1084 0.1084  1 F 2.06
F: 0.0000 0.0000 0.0000  2 S 2.06
Ir: 0.5000 0.5000 0.5000  6 S 2.36

Calculated values
* ΔE_f (raw): -488 meV/atom

5.
Here is crystalline IrSF3 at its relaxed geometry from Alexandria. Energies are from PBE.

a b c (Å): 4.2442 4.2442 4.2442
angles (deg): 90.00 90.00 90.00
With the nearest neighbours (Å) after each atom.
Sites, in units of the cell vectors:
F: 0.0000 0.0000 0.5000  2 S 2.12
F: 0.5000 0.0000 0.0000  2 S 2.12
F: 0.0000 0.5000 0.0000  2 S 2.12
Ir: 0.5000 0.5000 0.5000  12 F 3.00
S: 0.0000 0.0000 0.0000  6 F 2.12

Calculated values
* ΔE_f (raw): 594 meV/atom

6.
Here is crystalline IrS2F at its relaxed geometry from Alexandria. Energies are from PBE.

a b c (Å): 5.8930 5.8930 6.1446
angles (deg): 61.35 61.35 90.00
With the nearest neighbours (Å) after each atom.
Sites, in units of the cell vectors:
F: 0.2500 0.7500 0.5000  4 S 2.55
F: 0.5000 0.5000 0.0000  4 S 2.55
S: 0.8750 0.9205 0.7500  2 Ir 2.21
S: 0.6705 0.1250 0.2500  2 Ir 2.21
S: 0.0795 0.6250 0.2500  2 Ir 2.21
S: 0.3750 0.3295 0.7500  2 Ir 2.21
Ir: 0.0000 0.0000 0.0000  4 S 2.21
Ir: 0.7500 0.2500 0.5000  4 S 2.21

Calculated values
* ΔE_f (raw): -245 meV/atom

7.
Here is crystalline IrS2F at its relaxed geometry from Alexandria. Energies are from PBE.

a b c (Å): 4.1410 4.1410 4.1410
angles (deg): 60.00 60.00 60.00
With the nearest neighbours (Å) after each atom.
Sites, in units of the cell vectors:
S: 0.7500 0.7500 0.7500  4 F 2.54, 4 Ir 2.54
S: 0.2500 0.2500 0.2500  4 F 2.54, 4 Ir 2.54
Ir: 0.5000 0.5000 0.5000  8 S 2.54
F: 0.0000 0.0000 0.0000  8 S 2.54

Calculated values
* ΔE_f (raw): -158 meV/atom

8.
Here is crystalline Ir2SF at its relaxed geometry from Alexandria. Energies are from PBE.

a b c (Å): 4.1461 4.1461 4.1461
angles (deg): 60.00 60.00 60.00
With the nearest neighbours (Å) after each atom.
Sites, in units of the cell vectors:
F: 0.0000 0.0000 0.0000  8 Ir 2.54
Ir: 0.7500 0.7500 0.7500  4 S 2.54, 4 F 2.54
Ir: 0.2500 0.2500 0.2500  4 S 2.54, 4 F 2.54
S: 0.5000 0.5000 0.5000  8 Ir 2.54

Calculated values
* ΔE_f (raw): 270 meV/atom

9.
Here is crystalline IrS2F at its relaxed geometry from Alexandria. Energies are from PBE.

a b c (Å): 8.6505 8.6505 8.6505
angles (deg): 18.11 18.11 18.11
With the nearest neighbours (Å) after each atom.
Sites, in units of the cell vectors:
Ir: 0.0000 0.0000 0.0000  2 S 2.28
S: 0.9107 0.9107 0.9107  1 Ir 2.28, 3 F 2.52
S: 0.0893 0.0893 0.0893  1 Ir 2.28, 3 F 2.52
F: 0.5000 0.5000 0.5000  6 S 2.52, 6 F 2.72

Calculated values
* ΔE_f (raw): 181 meV/atom

10.
Here is crystalline IrSeS2F at its relaxed geometry from Alexandria. Energies are from PBE.

a b c (Å): 4.6440 4.0435 4.6440
angles (deg): 90.00 90.00 90.00
With the nearest neighbours (Å) after each atom.
Sites, in units of the cell vectors:
S: 0.0000 0.0000 0.5000  2 F 2.32
S: 0.5000 0.0000 0.0000  2 F 2.32
Ir: 0.0000 0.5000 0.0000  2 F 2.02
F: 0.0000 0.0000 0.0000  2 Ir 2.02
Se: 0.5000 0.5000 0.5000  8 S 3.08, 4 Ir 3.28

Calculated values
* ΔE_f (raw): 1242 meV/atom

11.
Here is crystalline SrIrS2F at its relaxed geometry from Alexandria. Energies are from PBE.

a b c (Å): 5.7078 6.0933 5.7078
angles (deg): 90.00 90.00 90.00
With the nearest neighbours (Å) after each atom.
Sites, in units of the cell vectors:
Ir: 0.0000 0.5000 0.0000  2 Sr 3.05
F: 0.5000 0.5000 0.5000  4 Ir 4.04, 8 S 4.17
S: 0.5000 0.0000 0.0000  2 Sr 2.85
S: 0.0000 0.0000 0.5000  2 Sr 2.85
Sr: 0.0000 0.0000 0.0000  4 S 2.85, 2 Ir 3.05

Calculated values
* ΔE_f (raw): 1153 meV/atom

12.
Here is crystalline TcIrSF2 at its relaxed geometry from Alexandria. Energies are from PBE.

a b c (Å): 3.8813 5.4294 3.8813
angles (deg): 90.00 90.00 90.00
With the nearest neighbours (Å) after each atom.
Sites, in units of the cell vectors:
S: 0.5000 0.5000 0.5000  4 Tc 2.74
F: 0.5000 0.0000 0.0000  2 Ir 1.94
F: 0.0000 0.0000 0.5000  2 Ir 1.94
Tc: 0.0000 0.5000 0.0000  2 Ir 2.71, 4 S 2.74
Ir: 0.0000 0.0000 0.0000  4 F 1.94

Calculated values
* ΔE_f (raw): -22 meV/atom

13.
Here is crystalline Sb3IrF at its relaxed geometry from Alexandria. Energies are from PBE.

a b c (Å): 5.2021 5.2021 5.2021
angles (deg): 90.00 90.00 90.00
With the nearest neighbours (Å) after each atom.
Sites, in units of the cell vectors:
Sb: 0.0000 0.5000 0.0000  2 Ir 2.60
Sb: 0.5000 0.0000 0.0000  2 Ir 2.60
Sb: 0.0000 0.0000 0.5000  2 Ir 2.60
Ir: 0.0000 0.0000 0.0000  6 Sb 2.60
F: 0.5000 0.5000 0.5000  12 Sb 3.68

Calculated values
* ΔE_f (raw): 251 meV/atom

14.
Here is crystalline SbIrF at its relaxed geometry from Alexandria. Energies are from PBE.

a b c (Å): 6.2170 5.5414 6.8336
angles (deg): 108.29 90.00 90.00
With the nearest neighbours (Å) after each atom.
Sites, in units of the cell vectors:
F: 0.3340 0.6577 0.8445  1 Sb 2.16, 1 Ir 2.27
F: 0.9897 0.6236 0.4959  1 Sb 2.11, 1 Ir 2.34
F: 0.4897 0.3764 0.5041  1 Sb 2.11, 1 Ir 2.34
F: 0.8340 0.3423 0.1555  1 Sb 2.16, 1 Ir 2.27
Ir: 0.9923 0.7286 0.9667  1 F 2.27, 1 Sb 2.53
Ir: 0.9811 0.2991 0.6483  1 F 2.34, 2 Sb 2.51-2.53
Ir: 0.4811 0.7009 0.3517  1 F 2.34, 2 Sb 2.51-2.53
Ir: 0.4923 0.2714 0.0333  1 F 2.27, 1 Sb 2.53
Sb: 0.5985 0.8284 0.0463  1 F 2.16
Sb: 0.0985 0.1716 0.9537  1 F 2.16
Sb: 0.1082 0.8870 0.3566  1 F 2.11
Sb: 0.6082 0.1130 0.6434  1 F 2.11

Calculated values
* ΔE_f (raw): -632 meV/atom

15.
Here is crystalline Sb2Ir2F at its relaxed geometry from Alexandria. Energies are from PBE.

a b c (Å): 7.7320 7.7320 3.0417
angles (deg): 90.00 90.00 90.00
With the nearest neighbours (Å) after each atom.
Sites, in units of the cell vectors:
Sb: 0.3355 0.1645 0.5000  6 Ir 2.71-2.75
Sb: 0.8355 0.3355 0.5000  6 Ir 2.71-2.75
Sb: 0.1645 0.6645 0.5000  6 Ir 2.71-2.75
Sb: 0.6645 0.8355 0.5000  6 Ir 2.71-2.75
F: 0.5000 0.5000 0.0000  4 Ir 3.03, 2 F 3.04, 8 Sb 3.27
F: 0.0000 0.0000 0.0000  4 Ir 3.03, 2 F 3.04, 8 Sb 3.27
Ir: 0.8696 0.6304 0.0000  6 Sb 2.71-2.75, 1 Ir 2.85, 2 F 3.03
Ir: 0.3696 0.8696 0.0000  6 Sb 2.71-2.75, 1 Ir 2.85, 2 F 3.03
Ir: 0.6304 0.1304 0.0000  6 Sb 2.71-2.75, 1 Ir 2.85, 2 F 3.03
Ir: 0.1304 0.3696 0.0000  6 Sb 2.71-2.75, 1 Ir 2.85, 2 F 3.03

Calculated values
* ΔE_f (raw): -191 meV/atom

16.
Here is crystalline Sb2Ir2F at its relaxed geometry from Alexandria. Energies are from PBE.

a b c (Å): 4.6225 4.6225 5.9428
angles (deg): 67.11 67.11 90.00
With the nearest neighbours (Å) after each atom.
Sites, in units of the cell vectors:
Ir: 0.3792 0.3792 0.2415  1 Ir 2.40, 4 Sb 2.64
Ir: 0.6208 0.6208 0.7585  1 Ir 2.40, 4 Sb 2.64
Sb: 0.7500 0.2500 0.5000  4 Ir 2.64
Sb: 0.2500 0.7500 0.5000  4 Ir 2.64
F: 0.0000 0.0000 0.0000  8 Sb 3.39, 10 Ir 3.48-3.76

Calculated values
* ΔE_f (raw): -63 meV/atom

17.
Here is crystalline Sb3IrF at its relaxed geometry from Alexandria. Energies are from PBE.

a b c (Å): 4.7537 4.7537 4.7537
angles (deg): 90.00 90.00 90.00
With the nearest neighbours (Å) after each atom.
Sites, in units of the cell vectors:
F: 0.0000 0.0000 0.0000  6 Sb 2.38
Sb: 0.5000 0.0000 0.0000  2 F 2.38
Sb: 0.0000 0.0000 0.5000  2 F 2.38
Sb: 0.0000 0.5000 0.0000  2 F 2.38
Ir: 0.5000 0.5000 0.5000  12 Sb 3.36

Calculated values
* ΔE_f (raw): 342 meV/atom

18.
Here is crystalline ScSbIrF2 at its relaxed geometry from Alexandria. Energies are from PBE.

a b c (Å): 3.9235 5.9054 3.9235
angles (deg): 90.00 90.00 90.00
With the nearest neighbours (Å) after each atom.
Sites, in units of the cell vectors:
Sc: 0.0000 0.0000 0.0000  4 F 1.96
Sb: 0.5000 0.5000 0.5000  4 Ir 2.77
Ir: 0.0000 0.5000 0.0000  4 Sb 2.77, 2 Sc 2.95
F: 0.5000 0.0000 0.0000  2 Sc 1.96
F: 0.0000 0.0000 0.5000  2 Sc 1.96

Calculated values
* ΔE_f (raw): -1912 meV/atom

19.
Here is crystalline SiSbIrF2 at its relaxed geometry from Alexandria. Energies are from PBE.

a b c (Å): 4.1312 4.1312 4.9738
angles (deg): 90.00 90.00 90.00
With the nearest neighbours (Å) after each atom.
Sites, in units of the cell vectors:
Si: 0.0000 0.0000 0.5000  2 Ir 2.49
Ir: 0.0000 0.0000 0.0000  4 F 2.07
Sb: 0.5000 0.5000 0.5000  4 Si 2.92, 8 F 3.23
F: 0.0000 0.5000 0.0000  2 Ir 2.07
F: 0.5000 0.0000 0.0000  2 Ir 2.07

Calculated values
* ΔE_f (raw): -289 meV/atom

20.
Here is crystalline Sb2TeIrF at its relaxed geometry from Alexandria. Energies are from PBE.

a b c (Å): 5.1450 5.1450 5.3527
angles (deg): 90.00 90.00 90.00
With the nearest neighbours (Å) after each atom.
Sites, in units of the cell vectors:
F: 0.5000 0.5000 0.5000  4 Te 3.64, 8 Sb 3.71
Ir: 0.0000 0.0000 0.0000  4 Sb 2.57, 2 Te 2.68
Sb: 0.5000 0.0000 0.0000  2 Ir 2.57
Sb: 0.0000 0.5000 0.0000  2 Ir 2.57
Te: 0.0000 0.0000 0.5000  2 Ir 2.68

Calculated values
* ΔE_f (raw): 251 meV/atom

21.
Here is crystalline Sb2TeIrF at its relaxed geometry from Alexandria. Energies are from PBE.

a b c (Å): 4.6326 4.6326 5.1152
angles (deg): 90.00 90.00 90.00
With the nearest neighbours (Å) after each atom.
Sites, in units of the cell vectors:
Ir: 0.5000 0.5000 0.5000  4 Te 3.28, 8 Sb 3.45
Sb: 0.5000 0.0000 0.0000  2 F 2.32
Sb: 0.0000 0.5000 0.0000  2 F 2.32
F: 0.0000 0.0000 0.0000  4 Sb 2.32, 2 Te 2.56
Te: 0.0000 0.0000 0.5000  2 F 2.56

Calculated values
* ΔE_f (raw): 444 meV/atom

22.
Here is crystalline SbIrXeF12 at its relaxed geometry from Alexandria. Energies are from PBE.

a b c (Å): 11.4146 11.4146 8.1428
angles (deg): 90.02 90.02 148.41
With the nearest neighbours (Å) after each atom.
Sites, in units of the cell vectors:
F: 0.8436 0.3279 0.2127  1 Ir 1.87
F: 0.6404 0.0271 0.5042  1 Ir 1.89
F: 0.5139 0.6876 0.3549  1 Sb 1.90
F: 0.4921 0.6844 0.6865  1 Sb 1.90
F: 0.6844 0.4921 0.1865  1 Sb 1.90
F: 0.6876 0.5139 0.8549  1 Sb 1.90
F: 0.0598 0.2628 0.6744  1 Sb 1.90
F: 0.3279 0.8436 0.7127  1 Ir 1.87
F: 0.0803 0.2637 0.3463  1 Sb 1.90
F: 0.2063 0.5710 0.4960  1 Ir 2.02, 1 Sb 2.12
F: 0.8482 0.3632 0.7567  1 Ir 1.87
F: 0.8764 0.8757 0.0760  1 Xe 2.01
F: 0.8757 0.8764 0.5760  1 Xe 2.01
F: 0.3689 0.3689 0.5325  1 Sb 1.90
F: 0.0548 0.6727 0.4641  1 Ir 2.00
F: 0.6727 0.0548 0.9641  1 Ir 2.00
F: 0.1176 0.4837 0.9757  1 Ir 1.89
F: 0.5710 0.2063 0.9960  1 Ir 2.02, 1 Sb 2.12
F: 0.3689 0.3689 0.0325  1 Sb 1.90
F: 0.3632 0.8482 0.2567  1 Ir 1.87
F: 0.4837 0.1176 0.4757  1 Ir 1.89
F: 0.2637 0.0803 0.8463  1 Sb 1.90
F: 0.2628 0.0598 0.1744  1 Sb 1.90
F: 0.0271 0.6404 0.0042  1 Ir 1.89
Ir: 0.3578 0.8586 0.4849  6 F 1.87-2.02
Ir: 0.8586 0.3578 0.9849  6 F 1.87-2.02
Xe: 0.9707 0.7937 0.5191  1 F 2.01
Xe: 0.7937 0.9707 0.0191  1 F 2.01
Sb: 0.2942 0.4666 0.5169  6 F 1.90-2.12
Sb: 0.4666 0.2942 0.0169  6 F 1.90-2.12

Calculated values
* ΔE_f (raw): -1594 meV/atom

23.
Here is crystalline ScIr2F at its relaxed geometry from Alexandria. Energies are from PBE.

a b c (Å): 4.3984 4.3984 4.3984
angles (deg): 60.00 60.00 60.00
With the nearest neighbours (Å) after each atom.
Sites, in units of the cell vectors:
Ir: 0.7500 0.7500 0.7500  4 Sc 2.69, 4 F 2.69
Ir: 0.2500 0.2500 0.2500  4 F 2.69, 4 Sc 2.69
Sc: 0.5000 0.5000 0.5000  8 Ir 2.69
F: 0.0000 0.0000 0.0000  8 Ir 2.69

Calculated values
* ΔE_f (raw): -68 meV/atom

24.
Here is crystalline Sc2IrF at its relaxed geometry from Alexandria. Energies are from PBE.

a b c (Å): 7.0377 7.0377 7.0377
angles (deg): 32.75 32.75 32.75
With the nearest neighbours (Å) after each atom.
Sites, in units of the cell vectors:
Ir: 0.5000 0.5000 0.5000  6 Sc 2.62
Sc: 0.8974 0.8974 0.8974  1 F 2.05
Sc: 0.1026 0.1026 0.1026  1 F 2.05
F: 0.0000 0.0000 0.0000  2 Sc 2.05

Calculated values
* ΔE_f (raw): -1688 meV/atom

25.
Here is crystalline Sc3IrF at its relaxed geometry from Alexandria. Energies are from PBE.

a b c (Å): 4.3655 4.3655 4.3655
angles (deg): 90.00 90.00 90.00
With the nearest neighbours (Å) after each atom.
Sites, in units of the cell vectors:
Sc: 0.0000 0.0000 0.5000  2 F 2.18
Sc: 0.5000 0.0000 0.0000  2 F 2.18
Sc: 0.0000 0.5000 0.0000  2 F 2.18
Ir: 0.5000 0.5000 0.5000  12 Sc 3.09
F: 0.0000 0.0000 0.0000  6 Sc 2.18

Calculated values
* ΔE_f (raw): -1130 meV/atom

26.
Here is crystalline ScIrF2 at its relaxed geometry from Alexandria. Energies are from PBE.

a b c (Å): 3.8103 3.8103 8.0785
angles (deg): 76.36 76.36 90.00
With the nearest neighbours (Å) after each atom.
Sites, in units of the cell vectors:
F: 0.3750 0.3894 0.7500  2 Sc 2.31, 2 Ir 2.36
F: 0.8750 0.8606 0.7500  2 Sc 2.31, 2 Ir 2.36
F: 0.1394 0.6250 0.2500  2 Sc 2.31, 2 Ir 2.36
F: 0.6106 0.1250 0.2500  2 Sc 2.31, 2 Ir 2.36
Sc: 0.5000 0.5000 0.0000  4 F 2.31
Sc: 0.2500 0.7500 0.5000  4 F 2.31
Ir: 0.7500 0.2500 0.5000  4 F 2.36
Ir: 0.0000 0.0000 0.0000  4 F 2.36

Calculated values
* ΔE_f (raw): -1379 meV/atom

27.
Here is crystalline ScIrF2 at its relaxed geometry from Alexandria. Energies are from PBE.

a b c (Å): 9.8111 9.8111 9.8111
angles (deg): 16.54 16.54 16.54
With the nearest neighbours (Å) after each atom.
Sites, in units of the cell vectors:
Ir: 0.0000 0.0000 0.0000  6 Ir 2.82
Sc: 0.5000 0.5000 0.5000  6 F 2.10
F: 0.1208 0.1208 0.1208  3 Sc 2.10
F: 0.8792 0.8792 0.8792  3 Sc 2.10

Calculated values
* ΔE_f (raw): -1658 meV/atom